An optimized crystal structure of PuZrSn2. Source: Alexandria via LeMat-Bulk, functional GGA-PBE.

Values from the calculation:
- Formation energy: -0.3109 eV per atom
- D(E_F): 10.45 states/eV/f.u.
- Raw total energy: -32.13 eV/cell

a = 4.6762 Å, b = 4.6762 Å, c = 4.4320 Å
α = 90.00°, β = 90.00°, γ = 90.00°
Last column: nearest neighbours and their distance in Å.
Space group P4/mmm (No. 123)
Symmetry-distinct sites (fractional):
Pu: 0.0000 0.0000 0.0000 x1  8 Sn 3.22, 4 Zr 3.31
Zr: 0.5000 0.5000 0.0000 x1  8 Sn 3.22, 4 Pu 3.31
Sn: 0.0000 0.5000 0.5000 x2  4 Zr 3.22, 4 Pu 3.22, 4 Sn 3.31